Entry from the Alexandria database: a geometry-optimized Er3SbPd12 structure (GGA-PBE).

Calculated values
total energy = -5.786 eV/atom
E_form (uncorrected) = -0.779 eV/atom
size of the total moment = 0.000 μB per cell

Geometry as CIF:
```
data_Er3SbPd12
_cell_length_a 4.097
_cell_length_b 4.097
_cell_length_c 16.325
_cell_angle_alpha 90.00
_cell_angle_beta 90.00
_cell_angle_gamma 90.00
_symmetry_space_group_name_H-M 'P 1'
_symmetry_Int_Tables_number 1
_symmetry_space_group_name_Hall 'P 1'
loop_
_atom_site_label
_atom_site_type_symbol
_atom_site_fract_x
_atom_site_fract_y
_atom_site_fract_z
Er1 Er 0.000 0.000 0.000
Er2 Er 0.000 0.000 0.249
Er3 Er 0.000 0.000 0.751
Sb1 Sb 0.000 0.000 0.500
Pd1 Pd 0.000 0.500 0.126
Pd2 Pd 0.000 0.500 0.380
Pd3 Pd 0.000 0.500 0.620
Pd4 Pd 0.000 0.500 0.874
Pd5 Pd 0.500 0.000 0.126
Pd6 Pd 0.500 0.000 0.380
Pd7 Pd 0.500 0.000 0.620
Pd8 Pd 0.500 0.000 0.874
Pd9 Pd 0.500 0.500 0.000
Pd10 Pd 0.500 0.500 0.255
Pd11 Pd 0.500 0.500 0.500
Pd12 Pd 0.500 0.500 0.745
```